[1]
# YBe3Cu

An optimized crystal structure of YBe3Cu (GGA-PBE, the Open Quantum Materials Database).

a b c (Å): 6.5190 6.5190 6.5190
angles (deg): 124.09 124.09 83.05
Fractional coordinates of all 10 atoms:
Be: 0.7500 0.7500 0.0000
Be: 0.1071 0.6071 0.7143
Be: 0.8929 0.3929 0.2857
Be: 0.6071 0.8929 0.5000
Be: 0.2500 0.2500 0.0000
Be: 0.3929 0.1071 0.5000
Cu: 0.2500 0.7500 0.5000
Cu: 0.7500 0.2500 0.5000
Y: 0.5000 0.5000 0.0000
Y: 0.0000 0.0000 0.0000

Summary:
electronic total energy	-2.88	eV/atom
calculated volume	182.30	Å³ per cell
symmetry	No. 140


[2]
# YBeCu

An optimized crystal structure of YBeCu (GGA-PBE, the Open Quantum Materials Database).

a b c (Å): 4.4914 4.4914 4.4914
angles (deg): 60.00 60.00 60.00
Fractional coordinates of all 3 atoms:
Y: 0.0000 0.0000 0.0000
Be: 0.2500 0.2500 0.2500
Cu: 0.7500 0.7500 0.7500

Summary:
ΔE to the lowest computed polymorph	0.490	eV/atom
calculated volume	64.07	Å³ per cell
symmetry	No. 216


[3]
# Y2BeCu

An optimized crystal structure of Y2BeCu (GGA-PBE, the Open Quantum Materials Database).

a b c (Å): 4.7823 4.7823 4.7823
angles (deg): 60.00 60.00 60.00
Each line ends with the local moment (μB).
Fractional coordinates of all 4 atoms:
Y: 0.7500 0.7500 0.7500  0.07
Y: 0.0000 0.0000 0.0000  0.05
Be: 0.5000 0.5000 0.5000  0.00
Cu: 0.2500 0.2500 0.2500  0.01

Summary:
electronic total energy	-4.71	eV/atom
calculated volume	77.34	Å³ per cell
symmetry	No. 216


[4]
# YBeZnCu

An optimized crystal structure of YBeZnCu (GGA-PBE, the Open Quantum Materials Database).

a b c (Å): 4.4787 4.4787 4.4787
angles (deg): 60.00 60.00 60.00
Fractional coordinates of all 4 atoms:
Be: 0.2500 0.2500 0.2500
Zn: 0.0000 0.0000 0.0000
Cu: 0.7500 0.7500 0.7500
Y: 0.5000 0.5000 0.5000

Summary:
ΔE to the lowest computed polymorph	0.000	eV/atom
calculated volume	63.52	Å³ per cell
symmetry	No. 216


[5]
# BeZnCu2

An optimized crystal structure of BeZnCu2 (GGA-PBE, the Open Quantum Materials Database).

a b c (Å): 5.6416 5.6416 5.6416
angles (deg): 90.00 90.00 90.00
Fractional coordinates of all 16 atoms:
Cu: 0.2671 0.2671 0.2671
Cu: 0.2671 0.7329 0.7329
Cu: 0.7329 0.7329 0.2671
Cu: 0.7329 0.7329 0.7329
Cu: 0.2671 0.2671 0.7329
Cu: 0.7329 0.2671 0.7329
Cu: 0.2671 0.7329 0.2671
Cu: 0.7329 0.2671 0.2671
Zn: 0.0000 0.5000 0.0000
Zn: 0.0000 0.0000 0.0000
Zn: 0.5000 0.0000 0.0000
Zn: 0.0000 0.0000 0.5000
Be: 0.5000 0.5000 0.5000
Be: 0.5000 0.0000 0.5000
Be: 0.0000 0.5000 0.5000
Be: 0.5000 0.5000 0.0000

Summary:
ΔE to the lowest computed polymorph	0.000	eV/atom
calculated volume	179.56	Å³ per cell
symmetry	No. 221


[6]
# BeZnCu2

An optimized crystal structure of BeZnCu2 (GGA-PBE, the Open Quantum Materials Database).

a b c (Å): 4.0209 4.0209 4.0209
angles (deg): 60.00 60.00 60.00
Fractional coordinates of all 4 atoms:
Cu: 0.0000 0.0000 0.0000
Cu: 0.7500 0.7500 0.7500
Be: 0.2500 0.2500 0.2500
Zn: 0.5000 0.5000 0.5000

Summary:
ΔE to the lowest computed polymorph	0.078	eV/atom
calculated volume	45.97	Å³ per cell
symmetry	No. 216


[7]
# BeZn2Cu

An optimized crystal structure of BeZn2Cu (GGA-PBE, the Open Quantum Materials Database).

a b c (Å): 4.0835 4.0835 4.0835
angles (deg): 60.00 60.00 60.00
Fractional coordinates of all 4 atoms:
Zn: 0.7500 0.7500 0.7500
Zn: 0.0000 0.0000 0.0000
Be: 0.5000 0.5000 0.5000
Cu: 0.2500 0.2500 0.2500

Summary:
electronic total energy	-2.44	eV/atom
calculated volume	48.15	Å³ per cell
symmetry	No. 216


[8]
# BeZnCu

An optimized crystal structure of BeZnCu (GGA-PBE, the Open Quantum Materials Database).

a b c (Å): 3.7774 3.7774 3.7774
angles (deg): 60.00 60.00 60.00
Fractional coordinates of all 3 atoms:
Cu: 0.2500 0.2500 0.2500
Zn: 0.7500 0.7500 0.7500
Be: 0.0000 0.0000 0.0000

Summary:
ΔE to the lowest computed polymorph	0.000	eV/atom
calculated volume	38.11	Å³ per cell
symmetry	No. 216


[9]
# ZrBeCu2

An optimized crystal structure of ZrBeCu2 (GGA-PBE, the Open Quantum Materials Database).

a b c (Å): 4.2418 4.2418 4.2418
angles (deg): 60.00 60.00 60.00
Fractional coordinates of all 4 atoms:
Be: 0.5000 0.5000 0.5000
Cu: 0.0000 0.0000 0.0000
Cu: 0.7500 0.7500 0.7500
Zr: 0.2500 0.2500 0.2500

Summary:
electronic total energy	-4.99	eV/atom
calculated volume	53.97	Å³ per cell
symmetry	No. 216


[10]
# DyBe

An optimized crystal structure of DyBe (GGA-PBE, the Open Quantum Materials Database).

a b c (Å): 4.0207 4.0207 4.0207
angles (deg): 60.00 60.00 60.00
Fractional coordinates of all 2 atoms:
Dy: 0.5000 0.5000 0.5000
Be: 0.0000 0.0000 0.0000

Summary:
ΔE to the lowest computed polymorph	0.000	eV/atom
calculated volume	45.96	Å³ per cell
symmetry	No. 225


[11]
# DyBe2

An optimized crystal structure of DyBe2 (GGA-PBE, the Open Quantum Materials Database).

a b c (Å): 5.0255 5.0255 5.0255
angles (deg): 60.00 60.00 60.00
Fractional coordinates of all 6 atoms:
Be: 0.1250 0.6250 0.6250
Be: 0.6250 0.6250 0.6250
Be: 0.6250 0.1250 0.6250
Be: 0.6250 0.6250 0.1250
Dy: 0.0000 0.0000 0.0000
Dy: 0.2500 0.2500 0.2500

Summary:
electronic total energy	-3.94	eV/atom
calculated volume	89.75	Å³ per cell
symmetry	No. 227


[12]
# DyBe

An optimized crystal structure of DyBe (GGA-PBE, the Open Quantum Materials Database).

a b c (Å): 3.4346 3.4346 4.2978
angles (deg): 90.00 90.00 120.00
Fractional coordinates of all 2 atoms:
Be: 0.6667 0.3333 0.7500
Dy: 0.3333 0.6667 0.2500

Summary:
ΔE to the lowest computed polymorph	0.040	eV/atom
calculated volume	43.91	Å³ per cell
symmetry	No. 187


[13]
# DyBe4

An optimized crystal structure of DyBe4 (GGA-PBE, the Open Quantum Materials Database).

a b c (Å): 3.1274 3.1274 13.3184
angles (deg): 90.00 90.00 90.00
Fractional coordinates of all 10 atoms:
Be: 0.0000 0.5000 0.4975
Be: 0.0000 0.0000 0.0000
Be: 0.0000 0.0000 0.3837
Be: 0.0000 0.0000 0.6163
Be: 0.5000 0.0000 0.5025
Be: 0.5000 0.5000 0.0000
Be: 0.5000 0.5000 0.6163
Be: 0.5000 0.5000 0.3837
Dy: 0.0000 0.5000 0.1920
Dy: 0.5000 0.0000 0.8080

Summary:
electronic total energy	-3.60	eV/atom
calculated volume	130.26	Å³ per cell
symmetry	No. 129


[14]
# DyBe12

An optimized crystal structure of DyBe12 (GGA-PBE, the Open Quantum Materials Database).

a b c (Å): 5.8338 5.8338 5.8338
angles (deg): 97.46 97.46 137.77
Fractional coordinates of all 13 atoms:
Dy: 0.0000 0.0000 0.0000
Be: 0.0000 0.3581 0.3581
Be: 0.0000 0.0000 0.5000
Be: 0.6419 0.0000 0.6419
Be: 0.5000 0.7352 0.2352
Be: 0.5000 0.5000 0.5000
Be: 0.0000 0.6419 0.6419
Be: 0.3581 0.0000 0.3581
Be: 0.7352 0.5000 0.2352
Be: 0.5000 0.2648 0.7648
Be: 0.0000 0.5000 0.0000
Be: 0.5000 0.0000 0.0000
Be: 0.2648 0.5000 0.7648

Summary:
electronic total energy	-3.88	eV/atom
calculated volume	124.48	Å³ per cell
symmetry	No. 139